Mg3ReSn at its PBEsol-relaxed geometry. Source: the Alexandria database, functional SCAN.

Computed properties:
Size of the total moment, μB per atom: 0.67
N(E_F), states/eV/cell: 2.6
Raw total energy, eV/atom: -22.988
Space-group type: No. 221
ΔE_f, eV per atom: 1.399

Cell: 5.1563 5.1563 5.1563 Å, 90.00 90.00 90.00°
Last column: nearest neighbours and their distance in Å.
Fractional coordinates of all 5 atoms:
Mg: 0.0000 0.0000 0.5000  2 Sn 2.58
Mg: 0.0000 0.5000 0.0000  2 Sn 2.58
Mg: 0.5000 0.0000 0.0000  2 Sn 2.58
Re: 0.5000 0.5000 0.5000  12 Mg 3.65
Sn: 0.0000 0.0000 0.0000  6 Mg 2.58

---

MgFeSb2 at its PBEsol-relaxed geometry. Source: the Alexandria database, functional SCAN.

Computed properties:
Size of the total moment, μB per atom: 0.58
N(E_F), states/eV/cell: 2.4
Distance to the lowest polymorph of the same formula, meV/atom: 0
Raw total energy, eV/atom: -24.355
Space-group type: No. 166
E_form (uncorrected), eV/atom: 0.051

Cell: 7.8604 7.8604 7.8604 Å, 26.21 26.21 26.21°
Last column: nearest neighbours and their distance in Å.
Fractional coordinates of all 4 atoms:
Mg: 0.0000 0.0000 0.0000  6 Sb 3.03
Fe: 0.5000 0.5000 0.5000  6 Sb 2.59
Sb: 0.2355 0.2355 0.2355  3 Fe 2.59
Sb: 0.7645 0.7645 0.7645  3 Fe 2.59

---

Ir2OsRu at its PBEsol-relaxed geometry. Source: the Alexandria database, functional SCAN.

Computed properties:
Size of the total moment, μB per atom: 0.00
N(E_F), states/eV/cell: 2.9
Distance to the lowest polymorph of the same formula, meV/atom: 27
Raw total energy, eV/atom: -62.216
Space-group type: No. 166
ΔE_f, eV per atom: 0.010

Cell: 8.9508 8.9508 8.9508 Å, 17.30 17.30 17.30°
Last column: nearest neighbours and their distance in Å.
Fractional coordinates of all 4 atoms:
Ir: 0.2503 0.2503 0.2503  3 Ru 2.69, 6 Ir 2.69, 3 Os 2.70
Ir: 0.7497 0.7497 0.7497  3 Ru 2.69, 6 Ir 2.69, 3 Os 2.70
Os: 0.5000 0.5000 0.5000  6 Os 2.69, 6 Ir 2.70
Ru: 0.0000 0.0000 0.0000  6 Ir 2.69, 6 Ru 2.69

---

InGa3Te at its PBEsol-relaxed geometry. Source: the Alexandria database, functional SCAN.

Computed properties:
Size of the total moment, μB per atom: 0.00
N(E_F), states/eV/cell: 1.3
Distance to the lowest polymorph of the same formula, meV/atom: 0
Raw total energy, eV/atom: -23.596
Space-group type: No. 221
E_form (uncorrected), eV/atom: 0.339

Cell: 5.1585 5.1585 5.1585 Å, 90.00 90.00 90.00°
Last column: nearest neighbours and their distance in Å.
Fractional coordinates of all 5 atoms:
In: 0.0000 0.0000 0.0000  6 Ga 2.58
Ga: 0.0000 0.0000 0.5000  2 In 2.58
Ga: 0.0000 0.5000 0.0000  2 In 2.58
Ga: 0.5000 0.0000 0.0000  2 In 2.58
Te: 0.5000 0.5000 0.5000  12 Ga 3.65

---

Na3LiSn at its PBEsol-relaxed geometry. Source: the Alexandria database, functional SCAN.

Computed properties:
Size of the total moment, μB per atom: 0.00
N(E_F), states/eV/cell: 3.3
Distance to the lowest polymorph of the same formula, meV/atom: 0
Raw total energy, eV/atom: -10.054
Space-group type: No. 221
ΔE_f, eV per atom: 0.137

Cell: 5.8693 5.8693 5.8693 Å, 90.00 90.00 90.00°
Last column: nearest neighbours and their distance in Å.
Fractional coordinates of all 5 atoms:
Na: 0.0000 0.0000 0.5000  2 Sn 2.93
Na: 0.0000 0.5000 0.0000  2 Sn 2.93
Na: 0.5000 0.0000 0.0000  2 Sn 2.93
Li: 0.5000 0.5000 0.5000  12 Na 4.15
Sn: 0.0000 0.0000 0.0000  6 Na 2.93

---

Sb3PF at its PBEsol-relaxed geometry. Source: the Alexandria database, functional SCAN.

Computed properties:
Size of the total moment, μB per atom: 0.00
N(E_F), states/eV/cell: 2.3
Raw total energy, eV/atom: -24.731
Space-group type: No. 221
E_form (uncorrected), eV/atom: 0.414

Cell: 5.1222 5.1222 5.1222 Å, 90.00 90.00 90.00°
Last column: nearest neighbours and their distance in Å.
Fractional coordinates of all 5 atoms:
Sb: 0.0000 0.0000 0.5000  2 P 2.56
Sb: 0.0000 0.5000 0.0000  2 P 2.56
Sb: 0.5000 0.0000 0.0000  2 P 2.56
P: 0.0000 0.0000 0.0000  6 Sb 2.56
F: 0.5000 0.5000 0.5000  12 Sb 3.62

---

Mg2Ni2As at its PBEsol-relaxed geometry. Source: the Alexandria database, functional SCAN.

Computed properties:
Size of the total moment, μB per atom: 0.00
N(E_F), states/eV/cell: 3.1
Raw total energy, eV/atom: -12.168
Space-group type: No. 139
ΔE_f, eV per atom: 0.329

Cell: 6.3481 6.3481 6.3481 Å, 146.27 146.27 48.44°
Last column: nearest neighbours and their distance in Å.
Fractional coordinates of all 5 atoms:
Mg: 0.2500 0.7500 0.5000  4 Ni 2.56, 4 Mg 2.60
Mg: 0.7500 0.2500 0.5000  4 Ni 2.56, 4 Mg 2.60
Ni: 0.0961 0.0961 0.0000  1 Ni 2.22
Ni: 0.9039 0.9039 0.0000  1 Ni 2.22
As: 0.5000 0.5000 0.0000  8 Ni 2.83

---

GeWCl2 at its PBEsol-relaxed geometry. Source: the Alexandria database, functional SCAN.

Computed properties:
Size of the total moment, μB per atom: 0.00
N(E_F), states/eV/cell: 3.0
Raw total energy, eV/atom: -25.058
Space-group type: No. 225
E_form (uncorrected), eV/atom: 1.125

Cell: 4.4680 4.4680 4.4680 Å, 60.00 60.00 60.00°
Last column: nearest neighbours and their distance in Å.
Fractional coordinates of all 4 atoms:
Ge: 0.0000 0.0000 0.0000  8 Cl 2.74
W: 0.5000 0.5000 0.5000  8 Cl 2.74
Cl: 0.2500 0.2500 0.2500  4 Ge 2.74, 4 W 2.74
Cl: 0.7500 0.7500 0.7500  4 Ge 2.74, 4 W 2.74

---

HoTlO2 at its PBEsol-relaxed geometry. Source: the Alexandria database, functional SCAN.

Computed properties:
Size of the total moment, μB per atom: 0.00
N(E_F), states/eV/cell: 0.0
Raw total energy, eV/atom: -36.059
Space-group type: No. 166
E_form (uncorrected), eV/atom: -2.607

Cell: 6.6738 6.6738 6.6738 Å, 29.81 29.81 29.81°
Last column: nearest neighbours and their distance in Å.
Fractional coordinates of all 4 atoms:
Ho: 0.0000 0.0000 0.0000  6 O 2.27
Tl: 0.5000 0.5000 0.5000  6 O 2.88
O: 0.2757 0.2757 0.2757  3 Ho 2.27
O: 0.7243 0.7243 0.7243  3 Ho 2.27

---

Cd2PH at its PBEsol-relaxed geometry. Source: the Alexandria database, functional SCAN.

Computed properties:
Size of the total moment, μB per atom: 0.00
N(E_F), states/eV/cell: 0.3
Raw total energy, eV/atom: -18.499
Space-group type: No. 122

Cell: 6.9700 6.9700 6.9700 Å, 138.64 138.64 59.92°
Last column: nearest neighbours and their distance in Å.
Fractional coordinates of all 8 atoms:
Cd: 0.0584 0.6250 0.9334  2 H 2.15
Cd: 0.3750 0.3084 0.4334  2 H 2.15
Cd: 0.6916 0.1250 0.0666  2 H 2.15
Cd: 0.8750 0.9416 0.5666  2 H 2.15
P: 0.2500 0.7500 0.5000  4 Cd 2.49
P: 0.5000 0.5000 0.0000  4 Cd 2.49
H: 0.0000 0.0000 0.0000  4 Cd 2.15
H: 0.7500 0.2500 0.5000  4 Cd 2.15

---

TaPbBr2 at its PBEsol-relaxed geometry. Source: the Alexandria database, functional SCAN.

Computed properties:
Size of the total moment, μB per atom: 0.00
N(E_F), states/eV/cell: 2.1
Raw total energy, eV/atom: -45.142
Space-group type: No. 25
E_form (uncorrected), eV/atom: 0.179

Cell: 3.1999 4.0761 7.2681 Å, 90.00 90.00 90.00°
Last column: nearest neighbours and their distance in Å.
Fractional coordinates of all 4 atoms:
Ta: 0.0000 0.0000 0.0000  5 Br 2.61-2.73
Pb: 0.5000 0.5000 0.6977  1 Br 3.05, 2 Pb 3.20, 4 Ta 3.40
Br: 0.0000 0.0000 0.3589  1 Ta 2.61
Br: 0.5000 0.5000 0.1174  4 Ta 2.73, 1 Pb 3.05

---

MgGa2Ag2 at its PBEsol-relaxed geometry. Source: the Alexandria database, functional SCAN.

Computed properties:
Size of the total moment, μB per atom: 0.00
N(E_F), states/eV/cell: 1.6
Raw total energy, eV/atom: -20.117
Space-group type: No. 139
ΔE_f, eV per atom: -0.037

Cell: 7.1399 7.1399 7.1399 Å, 149.85 149.85 43.16°
Last column: nearest neighbours and their distance in Å.
Fractional coordinates of all 5 atoms:
Mg: 0.0000 0.0000 0.0000  8 Ag 2.95
Ga: 0.2500 0.7500 0.5000  4 Ga 2.63, 4 Ag 2.71
Ga: 0.7500 0.2500 0.5000  4 Ga 2.63, 4 Ag 2.71
Ag: 0.3985 0.3985 0.0000  1 Ag 2.70, 4 Ga 2.71, 4 Mg 2.95
Ag: 0.6015 0.6015 0.0000  1 Ag 2.70, 4 Ga 2.71, 4 Mg 2.95

---

K2MgH8N4 at its PBEsol-relaxed geometry. Source: the Alexandria database, functional SCAN.

Computed properties:
Size of the total moment, μB per atom: 0.00
N(E_F), states/eV/cell: 0.0
Raw total energy, eV/atom: -6.302
Space-group type: No. 14

Cell: 7.3098 6.7618 13.3797 Å, 90.00 103.67 90.00°
Last column: nearest neighbours and their distance in Å.
Fractional coordinates of all 60 atoms:
K: 0.0914 0.1333 0.3954  6 H 2.74-3.01, 5 N 2.80-2.91
K: 0.0914 0.3667 0.8954  6 H 2.74-3.01, 5 N 2.80-2.91
K: 0.4067 0.6540 0.0999  8 H 2.62-2.92, 3 N 2.86-2.93
K: 0.4067 0.8460 0.5999  8 H 2.62-2.92, 3 N 2.86-2.93
K: 0.5933 0.1540 0.4001  8 H 2.62-2.92, 3 N 2.86-2.93
K: 0.5933 0.3460 0.9001  8 H 2.62-2.92, 3 N 2.86-2.93
K: 0.9086 0.6333 0.1046  6 H 2.74-3.01, 5 N 2.80-2.91
K: 0.9086 0.8667 0.6046  6 H 2.74-3.01, 5 N 2.80-2.91
Mg: 0.2054 0.2009 0.1540  4 N 2.07-2.10
Mg: 0.2054 0.2991 0.6540  4 N 2.07-2.10
Mg: 0.7946 0.7009 0.3460  4 N 2.07-2.10
Mg: 0.7946 0.7991 0.8460  4 N 2.07-2.10
H: 0.1049 0.5943 0.4857  1 N 1.03
H: 0.1049 0.9057 0.9857  1 N 1.03
H: 0.1255 0.0158 0.7843  1 N 1.03
H: 0.1255 0.4842 0.2843  1 N 1.03
H: 0.1646 0.7224 0.3963  1 N 1.03
H: 0.1646 0.7776 0.8963  1 N 1.03
H: 0.2130 0.6774 0.7474  1 N 1.03
H: 0.2130 0.8226 0.2474  1 N 1.03
H: 0.3478 0.5013 0.2944  1 N 1.03
H: 0.3478 0.9987 0.7944  1 N 1.03
H: 0.3916 0.1080 0.0167  1 N 1.03
H: 0.3916 0.3920 0.5167  1 N 1.03
H: 0.4174 0.5856 0.7544  1 N 1.03
H: 0.4174 0.9144 0.2544  1 N 1.03
H: 0.4752 0.7470 0.9000  1 N 1.03
H: 0.4752 0.7530 0.4000  1 N 1.03
H: 0.5248 0.2470 0.6000  1 N 1.03
H: 0.5248 0.2530 0.1000  1 N 1.03
H: 0.5826 0.0856 0.7456  1 N 1.03
H: 0.5826 0.4144 0.2456  1 N 1.03
H: 0.6084 0.6080 0.4833  1 N 1.03
H: 0.6084 0.8920 0.9833  1 N 1.03
H: 0.6522 0.0013 0.2056  1 N 1.03
H: 0.6522 0.4987 0.7056  1 N 1.03
H: 0.7870 0.1774 0.7526  1 N 1.03
H: 0.7870 0.3226 0.2526  1 N 1.03
H: 0.8354 0.2224 0.1037  1 N 1.03
H: 0.8354 0.2776 0.6037  1 N 1.03
H: 0.8745 0.5158 0.7157  1 N 1.03
H: 0.8745 0.9842 0.2157  1 N 1.03
H: 0.8951 0.0943 0.0143  1 N 1.03
H: 0.8951 0.4057 0.5143  1 N 1.03
N: 0.0667 0.7183 0.4407  2 H 1.03
N: 0.0667 0.7817 0.9407  2 H 1.03
N: 0.2264 0.0464 0.7441  2 H 1.03
N: 0.2264 0.4536 0.2441  2 H 1.03
N: 0.2799 0.5430 0.7483  2 H 1.03
N: 0.2799 0.9570 0.2483  2 H 1.03
N: 0.3887 0.2393 0.0558  2 H 1.03
N: 0.3887 0.2607 0.5558  2 H 1.03
N: 0.6113 0.7393 0.4442  2 H 1.03
N: 0.6113 0.7607 0.9442  2 H 1.03
N: 0.7201 0.0430 0.7517  2 H 1.03
N: 0.7201 0.4570 0.2517  2 H 1.03
N: 0.7736 0.5464 0.7559  2 H 1.03
N: 0.7736 0.9536 0.2559  2 H 1.03
N: 0.9333 0.2183 0.0593  2 H 1.03
N: 0.9333 0.2817 0.5593  2 H 1.03

---

CaTl2Pb at its PBEsol-relaxed geometry. Source: the Alexandria database, functional SCAN.

Computed properties:
Size of the total moment, μB per atom: 0.00
N(E_F), states/eV/cell: 2.0
Raw total energy, eV/atom: -57.836
Space-group type: No. 99
ΔE_f, eV per atom: -0.296

Cell: 4.0258 4.0258 6.9773 Å, 90.00 90.00 90.00°
Last column: nearest neighbours and their distance in Å.
Fractional coordinates of all 4 atoms:
Ca: 0.0000 0.0000 0.0000  6 Tl 3.36-3.53, 4 Pb 3.39
Tl: 0.0000 0.0000 0.5060  4 Tl 3.30, 4 Pb 3.31, 2 Ca 3.45-3.53
Tl: 0.5000 0.5000 0.7439  4 Tl 3.30, 2 Pb 3.35-3.63, 4 Ca 3.36
Pb: 0.5000 0.5000 0.2640  6 Tl 3.31-3.63, 4 Ca 3.39

---

BaHgB2Sb at its PBEsol-relaxed geometry. Source: the Alexandria database, functional SCAN.

Computed properties:
Size of the total moment, μB per atom: 0.00
N(E_F), states/eV/cell: 2.4
Raw total energy, eV/atom: -30.828
Space-group type: No. 123
E_form (uncorrected), eV/atom: 1.139

Cell: 4.6090 4.6090 5.8299 Å, 90.00 90.00 90.00°
Last column: nearest neighbours and their distance in Å.
Fractional coordinates of all 5 atoms:
Ba: 0.0000 0.0000 0.0000  4 Sb 3.26
Hg: 0.5000 0.5000 0.5000  4 B 2.30
B: 0.0000 0.5000 0.5000  2 Hg 2.30
B: 0.5000 0.0000 0.5000  2 Hg 2.30
Sb: 0.5000 0.5000 0.0000  2 Hg 2.91, 4 Ba 3.26

---

CdAs3Os at its PBEsol-relaxed geometry. Source: the Alexandria database, functional SCAN.

Computed properties:
Size of the total moment, μB per atom: 0.00
N(E_F), states/eV/cell: 3.0
Raw total energy, eV/atom: -31.912
Space-group type: No. 221
ΔE_f, eV per atom: 0.662

Cell: 4.7974 4.7974 4.7974 Å, 90.00 90.00 90.00°
Last column: nearest neighbours and their distance in Å.
Fractional coordinates of all 5 atoms:
Cd: 0.0000 0.0000 0.0000  12 As 3.39
As: 0.0000 0.5000 0.5000  2 Os 2.40
As: 0.5000 0.0000 0.5000  2 Os 2.40
As: 0.5000 0.5000 0.0000  2 Os 2.40
Os: 0.5000 0.5000 0.5000  6 As 2.40

---

CoIrRh at its PBEsol-relaxed geometry. Source: the Alexandria database, functional SCAN.

Computed properties:
Size of the total moment, μB per atom: 0.71
N(E_F), states/eV/cell: 3.2
Distance to the lowest polymorph of the same formula, meV/atom: 0
Raw total energy, eV/atom: -40.682
Space-group type: No. 156
ΔE_f, eV per atom: 0.043

Cell: 2.6469 2.6469 6.3215 Å, 90.00 90.00 120.00°
Last column: nearest neighbours and their distance in Å.
Fractional coordinates of all 3 atoms:
Co: 0.0000 0.0000 0.0000  3 Ir 2.55, 3 Rh 2.55, 6 Co 2.65
Ir: 0.6667 0.3333 0.6778  3 Co 2.55, 6 Ir 2.65, 3 Rh 2.71
Rh: 0.3333 0.6667 0.3234  3 Co 2.55, 6 Rh 2.65, 3 Ir 2.71

---

Bi2Ru2O7 at its PBEsol-relaxed geometry. Source: the Alexandria database, functional SCAN.

Computed properties:
Size of the total moment, μB per atom: 0.00
N(E_F), states/eV/cell: 5.7
Raw total energy, eV/atom: -25.754
Space-group type: No. 227
E_form (uncorrected), eV/atom: -1.170

Cell: 7.2452 7.2452 7.2452 Å, 60.00 60.00 60.00°
Last column: nearest neighbours and their distance in Å.
Fractional coordinates of all 22 atoms:
Bi: 0.0000 0.0000 0.0000  2 O 2.22
Bi: 0.0000 0.0000 0.5000  2 O 2.22
Bi: 0.0000 0.5000 0.0000  2 O 2.22
Bi: 0.5000 0.0000 0.0000  2 O 2.22
Ru: 0.0000 0.5000 0.5000  6 O 1.98
Ru: 0.5000 0.0000 0.5000  6 O 1.98
Ru: 0.5000 0.5000 0.0000  6 O 1.98
Ru: 0.5000 0.5000 0.5000  6 O 1.98
O: 0.1250 0.1250 0.1250  4 Bi 2.22
O: 0.1719 0.1719 0.5781  2 Ru 1.98
O: 0.1719 0.5781 0.1719  2 Ru 1.98
O: 0.1719 0.5781 0.5781  2 Ru 1.98
O: 0.4219 0.4219 0.8281  2 Ru 1.98
O: 0.4219 0.8281 0.4219  2 Ru 1.98
O: 0.4219 0.8281 0.8281  2 Ru 1.98
O: 0.5781 0.1719 0.1719  2 Ru 1.98
O: 0.5781 0.1719 0.5781  2 Ru 1.98
O: 0.5781 0.5781 0.1719  2 Ru 1.98
O: 0.8281 0.4219 0.4219  2 Ru 1.98
O: 0.8281 0.4219 0.8281  2 Ru 1.98
O: 0.8281 0.8281 0.4219  2 Ru 1.98
O: 0.8750 0.8750 0.8750  4 Bi 2.22

---

Hf2CoTe at its PBEsol-relaxed geometry. Source: the Alexandria database, functional SCAN.

Computed properties:
Size of the total moment, μB per atom: 0.00
N(E_F), states/eV/cell: 3.3
Raw total energy, eV/atom: -45.069
Space-group type: No. 122
E_form (uncorrected), eV/atom: -0.093

Cell: 5.9179 5.9179 5.9179 Å, 103.70 103.70 121.77°
Last column: nearest neighbours and their distance in Å.
Fractional coordinates of all 8 atoms:
Hf: 0.0737 0.6250 0.9487  2 Co 2.44
Hf: 0.3750 0.3237 0.4487  2 Co 2.44
Hf: 0.6763 0.1250 0.0513  2 Co 2.44
Hf: 0.8750 0.9263 0.5513  2 Co 2.44
Co: 0.0000 0.0000 0.0000  4 Hf 2.44
Co: 0.7500 0.2500 0.5000  4 Hf 2.44
Te: 0.2500 0.7500 0.5000  2 Co 2.88, 8 Hf 2.95-3.18
Te: 0.5000 0.5000 0.0000  2 Co 2.88, 8 Hf 2.95-3.18

---

CoOsRh2 at its PBEsol-relaxed geometry. Source: the Alexandria database, functional SCAN.

Computed properties:
Size of the total moment, μB per atom: 0.54
N(E_F), states/eV/cell: 3.9
Distance to the lowest polymorph of the same formula, meV/atom: 45
Raw total energy, eV/atom: -39.079
Space-group type: No. 160
ΔE_f, eV per atom: 0.103

Cell: 8.6356 8.6356 8.6356 Å, 17.65 17.65 17.65°
Last column: nearest neighbours and their distance in Å.
Fractional coordinates of all 4 atoms:
Co: 0.0000 0.0000 0.0000  3 Os 2.54, 3 Rh 2.55, 6 Co 2.65
Os: 0.2536 0.2536 0.2536  3 Co 2.54, 6 Os 2.65, 3 Rh 2.67
Rh: 0.5012 0.5012 0.5012  9 Rh 2.65-2.71, 3 Os 2.67
Rh: 0.7468 0.7468 0.7468  3 Co 2.55, 9 Rh 2.65-2.71